11
Lattice="-2.0550 3.9858 -0.2737 -3.6886 -1.4866 6.0464 8.3308 1.8460 1.2051" Properties=species:S:1:pos:R:3 comment="Ho3Ag4Sn4 | Alexandria via LeMat-Bulk | GGA-PBEsol | relaxed" dft_energy_ev_per_atom=-4.624 pbc="T T T"
Ho 3.0391 4.2988 2.9110
Ho 0.0000 0.0000 0.0000
Ho -0.4519 0.0463 4.0668
Ag -2.1044 1.8671 6.1182
Ag 4.6916 2.4779 0.8596
Ag 0.1200 2.7636 2.4720
Ag 2.4672 1.5814 4.5058
Sn -3.5986 0.9566 4.0777
Sn -2.1450 1.5425 1.6950
Sn 2.3406 1.3272 1.7542
Sn 0.2466 3.0178 5.2235